# 1
LuCdAgRh | PBE-GGA | relaxed

Values from the calculation:
For the density of states at the Fermi level, the calculation gives 2.14 states/eV per cell. The space group is No. 216. For the size of the total moment, the calculation gives 0.000 μB per atom. Its formation energy is -1.7 eV per formula unit.

a = 4.7636 Å, b = 4.7636 Å, c = 4.7636 Å
α = 60.00°, β = 60.00°, γ = 60.00°
Closest atoms and distances in Å follow each position.
Element x y z (fractional)
Lu 0.0000 0.0000 0.0000  4 Ag 2.92, 4 Rh 2.92
Cd 0.5000 0.5000 0.5000  4 Ag 2.92, 4 Rh 2.92
Ag 0.7500 0.7500 0.7500  4 Cd 2.92, 4 Lu 2.92
Rh 0.2500 0.2500 0.2500  4 Cd 2.92, 4 Lu 2.92



# 2
SmDyCo10 | PBE-GGA | relaxed

Values from the calculation:
For the density of states at the Fermi level, the calculation gives 19.16 states/eV per cell. The space group is No. 47. For the size of the total moment, the calculation gives 1.186 μB per atom. Its formation energy is -1.1 eV per formula unit.

a = 3.9436 Å, b = 4.9443 Å, c = 8.5797 Å
α = 90.00°, β = 90.00°, γ = 90.00°
Closest atoms and distances in Å follow each position.
Element x y z (fractional)
Sm 0.0000 0.0000 0.0000  18 Co 2.88-3.18
Dy 0.0000 0.5000 0.5000  14 Co 2.82-3.15
Co 0.0000 0.0000 0.3364  6 Co 2.42-2.44
Co 0.0000 0.0000 0.6636  6 Co 2.42-2.44
Co 0.0000 0.5000 0.1712  6 Co 2.43-2.46
Co 0.0000 0.5000 0.8288  6 Co 2.43-2.46
Co 0.5000 0.0000 0.5000  8 Co 2.42-2.46
Co 0.5000 0.2518 0.2525  8 Co 2.43-2.49
Co 0.5000 0.2518 0.7475  8 Co 2.43-2.49
Co 0.5000 0.5000 0.0000  8 Co 2.46-2.49
Co 0.5000 0.7482 0.2525  8 Co 2.43-2.49
Co 0.5000 0.7482 0.7475  8 Co 2.43-2.49



# 3
LaZrRh3 | PBE-GGA | relaxed

Values from the calculation:
For the density of states at the Fermi level, the calculation gives 2.59 states/eV per cell. The space group is No. 221. For the size of the total moment, the calculation gives 0.000 μB per atom. As for the energy above the most stable polymorph in this dataset: 0 meV/atom. Its formation energy is -0.4 eV per formula unit.

a = 4.8629 Å, b = 4.8629 Å, c = 4.8629 Å
α = 90.00°, β = 90.00°, γ = 90.00°
Closest atoms and distances in Å follow each position.
Element x y z (fractional)
La 0.0000 0.0000 0.0000  12 Rh 3.44
Zr 0.5000 0.5000 0.5000  6 Rh 2.43
Rh 0.0000 0.5000 0.5000  2 Zr 2.43
Rh 0.5000 0.0000 0.5000  2 Zr 2.43
Rh 0.5000 0.5000 0.0000  2 Zr 2.43



# 4
NbCr2MoAs | PBE-GGA | relaxed

Values from the calculation:
For the density of states at the Fermi level, the calculation gives 4.53 states/eV per cell. The space group is No. 123. For the size of the total moment, the calculation gives 1.152 μB per atom. Its formation energy is 8.3 eV per formula unit.

a = 4.7297 Å, b = 4.7297 Å, c = 4.7287 Å
α = 90.00°, β = 90.00°, γ = 90.00°
Closest atoms and distances in Å follow each position.
Element x y z (fractional)
Nb 0.0000 0.0000 0.0000  2 Mo 2.36, 4 Cr 2.36
Cr 0.0000 0.5000 0.0000  2 Nb 2.36
Cr 0.5000 0.0000 0.0000  2 Nb 2.36
Mo 0.0000 0.0000 0.5000  2 Nb 2.36
As 0.5000 0.5000 0.5000  8 Cr 3.34, 4 Mo 3.34



# 5
Mg3CdGa3 | PBE-GGA | relaxed

Values from the calculation:
For the density of states at the Fermi level, the calculation gives 4.69 states/eV per cell. The space group is No. 12. For the size of the total moment, the calculation gives 0.000 μB per atom. As for the energy above the most stable polymorph in this dataset: 0 meV/atom. Its formation energy is -0.6 eV per formula unit.

a = 6.7165 Å, b = 6.7165 Å, c = 6.4056 Å
α = 91.02°, β = 91.02°, γ = 88.75°
Closest atoms and distances in Å follow each position.
Element x y z (fractional)
Mg 0.0207 0.4666 0.7440  6 Ga 2.80-3.13, 2 Cd 2.94-3.07
Mg 0.0501 0.0501 0.2611  5 Ga 2.88-3.19, 1 Cd 3.16
Mg 0.4666 0.0207 0.7440  6 Ga 2.80-3.13, 2 Cd 2.94-3.07
Mg 0.5334 0.9793 0.2560  6 Ga 2.80-3.13, 2 Cd 2.94-3.07
Mg 0.9499 0.9499 0.7389  5 Ga 2.88-3.19, 1 Cd 3.16
Mg 0.9793 0.5334 0.2560  6 Ga 2.80-3.13, 2 Cd 2.94-3.07
Cd 0.3391 0.3391 0.0373  3 Ga 2.85-2.92, 5 Mg 2.94-3.16, 1 Cd 3.14
Cd 0.6609 0.6609 0.9627  3 Ga 2.85-2.92, 5 Mg 2.94-3.16, 1 Cd 3.14
Ga 0.2462 0.7538 0.0000  2 Cd 2.85, 6 Mg 2.89-2.94
Ga 0.2537 0.7463 0.5000  2 Ga 2.74, 6 Mg 2.80-2.96
Ga 0.3477 0.3477 0.4931  3 Ga 2.74-2.92, 2 Mg 2.84, 1 Cd 2.92
Ga 0.6523 0.6523 0.5069  3 Ga 2.74-2.92, 2 Mg 2.84, 1 Cd 2.92
Ga 0.7463 0.2537 0.5000  2 Ga 2.74, 6 Mg 2.80-2.96
Ga 0.7538 0.2462 0.0000  2 Cd 2.85, 6 Mg 2.89-2.94



# 6
Zn3B2O6 | PBE-GGA | relaxed

Values from the calculation:
For the density of states at the Fermi level, the calculation gives 0.00 states/eV per cell. The calculation puts the uncorrected formation energy at -1.889 eV per atom. The space group is No. 15. For the size of the total moment, the calculation gives 0.000 μB per atom. As for the energy above the most stable polymorph in this dataset: 6 meV/atom.

a = 12.5833 Å, b = 12.5833 Å, c = 8.4979 Å
α = 103.41°, β = 103.41°, γ = 23.30°
Closest atoms and distances in Å follow each position.
Element x y z (fractional)
Zn 0.0989 0.4834 0.7853  4 O 1.96-2.01
Zn 0.1262 0.7764 0.8238  4 O 1.95-2.04
Zn 0.1898 0.5580 0.1177  4 O 1.94-2.03
Zn 0.2236 0.8738 0.6762  4 O 1.95-2.04
Zn 0.4420 0.8102 0.3823  4 O 1.94-2.03
Zn 0.4834 0.0989 0.2853  4 O 1.96-2.01
Zn 0.5166 0.9011 0.7147  4 O 1.96-2.01
Zn 0.5580 0.1898 0.6177  4 O 1.94-2.03
Zn 0.7764 0.1262 0.3238  4 O 1.95-2.04
Zn 0.8102 0.4420 0.8823  4 O 1.94-2.03
Zn 0.8738 0.2236 0.1762  4 O 1.95-2.04
Zn 0.9011 0.5166 0.2147  4 O 1.96-2.01
B 0.0006 0.6258 0.4785  3 O 1.39
B 0.2587 0.6118 0.4617  3 O 1.38-1.39
B 0.3742 0.9994 0.0215  3 O 1.39
B 0.3882 0.7413 0.0383  3 O 1.38-1.39
B 0.6118 0.2587 0.9617  3 O 1.38-1.39
B 0.6258 0.0006 0.9785  3 O 1.39
B 0.7413 0.3882 0.5383  3 O 1.38-1.39
B 0.9994 0.3742 0.5215  3 O 1.39
O 0.0980 0.2663 0.0236  1 B 1.39
O 0.1001 0.4671 0.3406  1 B 1.39
O 0.1025 0.7384 0.3185  1 B 1.39
O 0.1622 0.7657 0.6001  1 B 1.38
O 0.1642 0.5100 0.6192  1 B 1.39
O 0.2343 0.8378 0.8999  1 B 1.38
O 0.2616 0.8975 0.1815  1 B 1.39
O 0.2663 0.0980 0.5236  1 B 1.39
O 0.3333 0.5067 0.9595  1 B 1.39
O 0.4671 0.1001 0.8406  1 B 1.39
O 0.4900 0.8358 0.8808  1 B 1.39
O 0.4933 0.6667 0.5405  1 B 1.39
O 0.5067 0.3333 0.4595  1 B 1.39
O 0.5100 0.1642 0.1192  1 B 1.39
O 0.5329 0.8999 0.1594  1 B 1.39
O 0.6667 0.4933 0.0405  1 B 1.39
O 0.7337 0.9020 0.4764  1 B 1.39
O 0.7384 0.1025 0.8185  1 B 1.39
O 0.7657 0.1622 0.1001  1 B 1.38
O 0.8358 0.4900 0.3808  1 B 1.39
O 0.8378 0.2343 0.3999  1 B 1.38
O 0.8975 0.2616 0.6815  1 B 1.39
O 0.8999 0.5329 0.6594  1 B 1.39
O 0.9020 0.7337 0.9764  1 B 1.39



# 7
SrCa2TbAu4 | PBE-GGA | relaxed

Values from the calculation:
For the density of states at the Fermi level, the calculation gives 5.27 states/eV per cell. The space group is No. 166. For the size of the total moment, the calculation gives 0.000 μB per atom. Its formation energy is -6.3 eV per formula unit.

a = 9.0845 Å, b = 9.0845 Å, c = 9.0845 Å
α = 33.17°, β = 33.17°, γ = 33.17°
Closest atoms and distances in Å follow each position.
Element x y z (fractional)
Sr 0.0000 0.0000 0.0000  8 Au 3.25-3.39
Ca 0.2499 0.2499 0.2499  7 Au 3.03-3.24
Ca 0.7501 0.7501 0.7501  7 Au 3.03-3.24
Tb 0.5000 0.5000 0.5000  8 Au 3.02-3.12
Au 0.1319 0.1319 0.1319  4 Ca 3.03-3.24, 3 Tb 3.12, 1 Sr 3.39
Au 0.3825 0.3825 0.3825  1 Tb 3.02, 3 Ca 3.12, 3 Sr 3.25
Au 0.6175 0.6175 0.6175  1 Tb 3.02, 3 Ca 3.12, 3 Sr 3.25
Au 0.8681 0.8681 0.8681  4 Ca 3.03-3.24, 3 Tb 3.12, 1 Sr 3.39



# 8
NaLiHgCl4 | PBE-GGA | relaxed

Values from the calculation:
For the density of states at the Fermi level, the calculation gives 0.00 states/eV per cell. The calculation puts the uncorrected formation energy at -1.270 eV per atom. The space group is No. 74. For the size of the total moment, the calculation gives 0.000 μB per atom.

a = 7.8786 Å, b = 7.8786 Å, c = 7.8786 Å
α = 120.41°, β = 119.48°, γ = 90.10°
Closest atoms and distances in Å follow each position.
Element x y z (fractional)
Na 0.5000 0.0000 0.0000  6 Cl 2.76-2.79
Na 0.5000 0.5000 0.5000  6 Cl 2.76-2.79
Li 0.0000 0.0000 0.0000  6 Cl 2.57-2.68
Li 0.5000 0.0000 0.5000  6 Cl 2.57-2.68
Hg 0.1214 0.3714 0.7500  4 Cl 2.55-2.56
Hg 0.8786 0.6286 0.2500  4 Cl 2.55-2.56
Cl 0.2374 0.2311 0.0062  1 Hg 2.56, 1 Li 2.57, 2 Na 2.76
Cl 0.2495 0.2289 0.4794  1 Hg 2.55, 2 Li 2.68, 1 Na 2.79
Cl 0.2495 0.7700 0.0206  1 Hg 2.55, 2 Li 2.68, 1 Na 2.79
Cl 0.2751 0.7689 0.5062  1 Hg 2.56, 1 Li 2.57, 2 Na 2.76
Cl 0.7249 0.2311 0.4938  1 Hg 2.56, 1 Li 2.57, 2 Na 2.76
Cl 0.7505 0.2300 0.9794  1 Hg 2.55, 2 Li 2.68, 1 Na 2.79
Cl 0.7505 0.7711 0.5206  1 Hg 2.55, 2 Li 2.68, 1 Na 2.79
Cl 0.7626 0.7689 0.9938  1 Hg 2.56, 1 Li 2.57, 2 Na 2.76



# 9
Sc2AlNi | PBE-GGA | relaxed

Values from the calculation:
For the density of states at the Fermi level, the calculation gives 3.38 states/eV per cell. The space group is No. 123. For the size of the total moment, the calculation gives 0.000 μB per atom. Its formation energy is -1.9 eV per formula unit.

a = 3.2760 Å, b = 3.2760 Å, c = 6.6010 Å
α = 90.00°, β = 90.00°, γ = 90.00°
Closest atoms and distances in Å follow each position.
Element x y z (fractional)
Sc 0.0000 0.0000 0.2279  4 Ni 2.76, 4 Al 2.93, 1 Sc 3.01
Sc 0.0000 0.0000 0.7721  4 Ni 2.76, 4 Al 2.93, 1 Sc 3.01
Al 0.5000 0.5000 0.5000  8 Sc 2.93, 4 Al 3.28
Ni 0.5000 0.5000 0.0000  8 Sc 2.76



# 10
KHg2P | PBE-GGA | relaxed

Values from the calculation:
For the density of states at the Fermi level, the calculation gives 1.15 states/eV per cell. The space group is No. 119. For the size of the total moment, the calculation gives 0.000 μB per atom. Its formation energy is 0.6 eV per formula unit.

a = 5.2455 Å, b = 5.2455 Å, c = 5.2455 Å
α = 120.11°, β = 120.11°, γ = 89.81°
Closest atoms and distances in Å follow each position.
Element x y z (fractional)
K 0.0000 0.0000 0.0000  4 Hg 3.21, 4 P 3.21
Hg 0.5000 0.5000 0.0000  4 Hg 3.21, 4 P 3.21
Hg 0.7500 0.2500 0.5000  4 Hg 3.21, 4 K 3.21
P 0.2500 0.7500 0.5000  4 Hg 3.21, 4 K 3.21



# 11
Zn6CoPd | PBE-GGA | relaxed

Values from the calculation:
For the density of states at the Fermi level, the calculation gives 4.50 states/eV per cell. The space group is No. 123. For the size of the total moment, the calculation gives 0.105 μB per atom. As for the energy above the most stable polymorph in this dataset: 0 meV/atom. Its formation energy is -1.4 eV per formula unit.

a = 3.8018 Å, b = 3.8018 Å, c = 7.6062 Å
α = 90.00°, β = 90.00°, γ = 90.00°
Closest atoms and distances in Å follow each position.
Element x y z (fractional)
Zn 0.0000 0.0000 0.0000  8 Zn 2.63, 4 Co 2.69
Zn 0.0000 0.0000 0.5000  4 Pd 2.69, 8 Zn 2.75
Zn 0.0000 0.5000 0.2383  2 Co 2.63, 8 Zn 2.63-2.75, 2 Pd 2.75
Zn 0.0000 0.5000 0.7617  2 Co 2.63, 8 Zn 2.63-2.75, 2 Pd 2.75
Zn 0.5000 0.0000 0.2383  2 Co 2.63, 8 Zn 2.63-2.75, 2 Pd 2.75
Zn 0.5000 0.0000 0.7617  2 Co 2.63, 8 Zn 2.63-2.75, 2 Pd 2.75
Co 0.5000 0.5000 0.0000  12 Zn 2.63-2.69
Pd 0.5000 0.5000 0.5000  12 Zn 2.69-2.75



# 12
Ti2Ni5Ir | PBE-GGA | relaxed

Values from the calculation:
For the density of states at the Fermi level, the calculation gives 11.84 states/eV per cell. The space group is No. 55. For the size of the total moment, the calculation gives 0.000 μB per atom. Its formation energy is -4.2 eV per formula unit.

a = 5.1999 Å, b = 10.3836 Å, c = 3.6430 Å
α = 90.00°, β = 90.00°, γ = 90.00°
Closest atoms and distances in Å follow each position.
Element x y z (fractional)
Ti 0.2504 0.1264 0.0000  10 Ni 2.55-2.64, 2 Ir 2.59
Ti 0.2496 0.6264 0.0000  10 Ni 2.55-2.64, 2 Ir 2.59
Ti 0.7504 0.3736 0.0000  10 Ni 2.55-2.64, 2 Ir 2.59
Ti 0.7496 0.8736 0.0000  10 Ni 2.55-2.64, 2 Ir 2.59
Ni 0.0000 0.0000 0.5000  6 Ni 2.58, 4 Ti 2.60, 2 Ir 2.60
Ni 0.0071 0.2480 0.5000  4 Ti 2.55-2.61, 7 Ni 2.56-2.60, 1 Ir 2.62
Ni 0.2418 0.8717 0.0000  4 Ti 2.55-2.64, 6 Ni 2.56-2.58, 2 Ir 2.63
Ni 0.2582 0.3717 0.0000  4 Ti 2.55-2.64, 6 Ni 2.56-2.58, 2 Ir 2.63
Ni 0.4929 0.7480 0.5000  4 Ti 2.55-2.61, 7 Ni 2.56-2.60, 1 Ir 2.62
Ni 0.5000 0.5000 0.5000  6 Ni 2.58, 4 Ti 2.60, 2 Ir 2.60
Ni 0.5071 0.2520 0.5000  4 Ti 2.55-2.61, 7 Ni 2.56-2.60, 1 Ir 2.62
Ni 0.7418 0.6283 0.0000  4 Ti 2.55-2.64, 6 Ni 2.56-2.58, 2 Ir 2.63
Ni 0.7582 0.1283 0.0000  4 Ti 2.55-2.64, 6 Ni 2.56-2.58, 2 Ir 2.63
Ni 0.9929 0.7520 0.5000  4 Ti 2.55-2.61, 7 Ni 2.56-2.60, 1 Ir 2.62
Ir 0.0000 0.5000 0.5000  4 Ti 2.59, 8 Ni 2.60-2.63
Ir 0.5000 0.0000 0.5000  4 Ti 2.59, 8 Ni 2.60-2.63